1.
First-principles (PBE-GGA) data for crystalline BaIn6Hg12 at its relaxed geometry, as listed in Alexandria.

Formation energy from the elements   -0.094 eV per atom
Relative energy among the computed polymorphs   0 meV per atom
Energy   -1.251 eV per atom

abc: 14.6322 14.6322 8.4756
angles: 90.00 90.00 120.00
Space group R-3 (No. 148, hexagonal axes)
Inequivalent atoms, fractional coordinates:
Ba 0.0000 0.0000 0.0000
In 0.0297 0.7636 0.3043
Hg 0.0122 0.8668 0.6535
Hg 0.0579 0.4892 0.6812

2.
First-principles (PBE-GGA) data for crystalline Ba6InPtAu2 at its relaxed geometry, as listed in Alexandria.

Formation energy from the elements   -0.515 eV per atom
Energy   -3.202 eV per atom

abc: 8.3623 8.3690 8.9921
angles: 90.02 117.69 119.95
Space group P1 (No. 1)
Inequivalent atoms, fractional coordinates:
Ba 0.0000 0.0000 0.0000
Ba 0.0012 0.8065 0.4814
Ba 0.3224 0.4476 0.4816
Ba 0.3950 0.6487 0.0003
Ba 0.6477 0.2529 0.9997
Ba 0.6819 0.1284 0.4818
In 0.8663 0.5599 0.7783
Pt 0.8503 0.0518 0.2541
Au 0.4879 0.8704 0.7105
Au 0.5168 0.3852 0.2540

3.
First-principles (PBE-GGA) data for crystalline SrSm3 at its relaxed geometry, as listed in Alexandria.

Formation energy from the elements   0.140 eV per atom
Energy   -3.820 eV per atom

abc: 3.7583 12.0820 6.5644
angles: 90.00 90.00 90.00
Space group Imm2 (No. 44)
Inequivalent atoms, fractional coordinates:
Sr 0.0000 0.0000 0.0000
Sm 0.0000 0.2382 0.3421
Sm 0.0000 0.5000 0.0035

4.
First-principles (PBE-GGA) data for crystalline PrDyBeAl at its relaxed geometry, as listed in Alexandria.

Formation energy from the elements   -0.067 eV per atom
Energy   -4.280 eV per atom

abc: 7.2025 7.2025 7.2025
angles: 90.00 90.00 90.00
Space group F-43m (No. 216)
Inequivalent atoms, fractional coordinates:
Pr 0.0000 0.0000 0.0000
Dy 0.0000 0.0000 0.5000
Be 0.2500 0.2500 0.2500
Al 0.2500 0.2500 0.7500

5.
First-principles (PBE-GGA) data for crystalline B2TeRu at its relaxed geometry, as listed in Alexandria.

Formation energy from raw total energies   0.59 eV per atom
Energy   -5.857 eV per atom

abc: 5.0664 5.0664 10.0538
angles: 90.00 90.00 90.00
Space group I-42d (No. 122)
Inequivalent atoms, fractional coordinates:
B 0.1971 0.2500 0.1250
Te 0.0000 0.0000 0.5000
Ru 0.0000 0.0000 0.0000

6.
First-principles (PBE-GGA) data for crystalline HfMnCoBr2 at its relaxed geometry, as listed in Alexandria.

Formation energy from raw total energies   0.64 eV per atom
Energy   -5.275 eV per atom

abc: 4.7535 4.7535 4.9024
angles: 90.00 90.00 90.00
Space group P4/mmm (No. 123)
Inequivalent atoms, fractional coordinates:
Hf 0.0000 0.0000 0.0000
Mn 0.5000 0.5000 0.0000
Co 0.0000 0.0000 0.5000
Br 0.0000 0.5000 0.5000

7.
First-principles (PBE-GGA) data for crystalline PmAs2O6F at its relaxed geometry, as listed in Alexandria.

Formation energy from raw total energies   -1.96 eV per atom
Energy   -6.523 eV per atom

abc: 12.5104 10.9887 4.6903
angles: 90.00 104.87 90.00
Space group C2/c (No. 15)
Inequivalent atoms, fractional coordinates:
Pm 0.0000 0.1485 0.2500
As 0.1807 0.4048 0.7068
O 0.0826 0.3039 0.5643
O 0.1534 0.4460 0.0496
O 0.1864 0.1298 0.2470
F 0.0000 0.0672 0.7500

8.
First-principles (PBE-GGA) data for crystalline LaFe2Cu at its relaxed geometry, as listed in Alexandria.

Formation energy from the elements   0.380 eV per atom
Energy   -6.108 eV per atom

abc: 6.5685 6.5685 6.5685
angles: 90.00 90.00 90.00
Space group F-43m (No. 216)
Inequivalent atoms, fractional coordinates:
La 0.0000 0.0000 0.0000
Fe 0.0000 0.0000 0.5000
Fe 0.2500 0.2500 0.2500
Cu 0.2500 0.2500 0.7500

9.
First-principles (PBE-GGA) data for crystalline YCu2Os at its relaxed geometry, as listed in Alexandria.

Formation energy from the elements   0.141 eV per atom
Relative energy among the computed polymorphs   41 meV per atom
Energy   -6.330 eV per atom

abc: 6.3734 6.3734 6.3734
angles: 90.00 90.00 90.00
Space group Fm-3m (No. 225)
Inequivalent atoms, fractional coordinates:
Y 0.0000 0.0000 0.0000
Cu 0.2500 0.2500 0.2500
Os 0.0000 0.0000 0.5000

10.
First-principles (PBE-GGA) data for crystalline LiMg7Bi2Pb2 at its relaxed geometry, as listed in Alexandria.

Formation energy from the elements   0.003 eV per atom
Energy   -2.352 eV per atom

abc: 6.4514 6.4223 15.8831
angles: 90.00 99.58 90.00
Space group C2/m (No. 12)
Inequivalent atoms, fractional coordinates:
Li 0.0000 0.0000 0.0000
Mg 0.0000 0.5000 0.0000
Mg 0.1935 0.2490 0.8624
Mg 0.2323 0.0000 0.4625
Bi 0.1164 0.0000 0.2710
Pb 0.1511 0.5000 0.3428

11.
First-principles (PBE-GGA) data for crystalline Pr3Y3Tm2 at its relaxed geometry, as listed in Alexandria.

Formation energy from the elements   0.076 eV per atom
Energy   -5.258 eV per atom

abc: 16.5491 5.7214 6.0160
angles: 90.00 109.54 90.00
Space group C2/m (No. 12)
Inequivalent atoms, fractional coordinates:
Pr 0.0000 0.0000 0.0000
Pr 0.1367 0.0000 0.6979
Y 0.0000 0.5000 0.5000
Y 0.1341 0.5000 0.0852
Tm 0.2497 0.0000 0.3173

12.
First-principles (PBE-GGA) data for crystalline SrCoSb2 at its relaxed geometry, as listed in Alexandria.

Formation energy from raw total energies   -0.15 eV per atom
Energy   -4.409 eV per atom

abc: 5.5476 5.5476 16.1890
angles: 90.00 90.00 90.00
Space group I-42d (No. 122)
Inequivalent atoms, fractional coordinates:
Sr 0.0000 0.0000 0.0000
Co 0.0000 0.0000 0.5000
Sb 0.0990 0.2500 0.6250

13.
First-principles (PBE-GGA) data for crystalline Pa6Sb2C at its relaxed geometry, as listed in Alexandria.

Formation energy from raw total energies   0.29 eV per atom
Energy   -7.977 eV per atom

abc: 6.2549 6.2549 13.5744
angles: 90.00 90.00 90.00
Space group P4_2/mnm (No. 136)
Inequivalent atoms, fractional coordinates:
Pa 0.2117 0.2117 0.0968
Pa 0.2204 0.2204 0.5000
Sb 0.0000 0.0000 0.2839
C 0.0000 0.0000 0.0000

14.
First-principles (PBE-GGA) data for crystalline PrDy5Sc2 at its relaxed geometry, as listed in Alexandria.

Formation energy from the elements   0.041 eV per atom
Relative energy among the computed polymorphs   7 meV per atom
Energy   -5.016 eV per atom

abc: 6.9957 13.9974 4.9175
angles: 90.00 90.00 90.00
Space group Pbam (No. 55)
Inequivalent atoms, fractional coordinates:
Pr 0.0000 0.0000 0.0000
Dy 0.0000 0.5000 0.0000
Dy 0.0035 0.2513 0.0000
Dy 0.2461 0.6266 0.5000
Sc 0.2485 0.8739 0.5000

15.
First-principles (PBE-GGA) data for crystalline DyTm15Sc4 at its relaxed geometry, as listed in Alexandria.

Formation energy from the elements   0.042 eV per atom
Energy   -4.808 eV per atom

abc: 4.8706 4.8706 24.3634
angles: 90.00 90.00 90.00
Space group P4/mmm (No. 123)
Inequivalent atoms, fractional coordinates:
Dy 0.0000 0.0000 0.0000
Tm 0.0000 0.5000 0.1029
Tm 0.0000 0.5000 0.3014
Tm 0.0000 0.5000 0.5000
Tm 0.5000 0.5000 0.0000
Tm 0.5000 0.5000 0.2025
Tm 0.5000 0.5000 0.4008
Sc 0.0000 0.0000 0.2019
Sc 0.0000 0.0000 0.4008

16.
First-principles (PBE-GGA) data for crystalline TbNd3Sm at its relaxed geometry, as listed in Alexandria.

Formation energy from the elements   0.029 eV per atom
Relative energy among the computed polymorphs   0 meV per atom
Energy   -4.702 eV per atom

abc: 22.4791 3.6806 8.6847
angles: 90.00 105.65 90.00
Space group C2/m (No. 12)
Inequivalent atoms, fractional coordinates:
Tb 0.2175 0.0000 0.3181
Nd 0.0173 0.0000 0.7202
Nd 0.1176 0.5000 0.5154
Nd 0.1840 0.0000 0.8830
Sm 0.0845 0.5000 0.0882

17.
First-principles (PBE-GGA) data for crystalline Tb2ZrTi2Rh5 at its relaxed geometry, as listed in Alexandria.

Formation energy from the elements   -0.685 eV per atom
Energy   -7.721 eV per atom

abc: 10.0814 10.0814 3.5889
angles: 90.00 90.00 90.00
Space group P4/mbm (No. 127)
Inequivalent atoms, fractional coordinates:
Tb 0.1767 0.3233 0.0000
Zr 0.0000 0.0000 0.0000
Ti 0.1227 0.6227 0.0000
Rh 0.0000 0.5000 0.5000
Rh 0.0633 0.7932 0.5000

18.
First-principles (PBE-GGA) data for crystalline Rb4Nd3NpO8 at its relaxed geometry, as listed in Alexandria.

Formation energy from raw total energies   -2.45 eV per atom
Energy   -6.869 eV per atom

abc: 7.2993 7.2993 19.8469
angles: 90.00 90.00 120.00
Space group R-3m (No. 166, hexagonal axes)
Inequivalent atoms, fractional coordinates:
Rb 0.0000 0.0000 0.0000
Rb 0.0000 0.5000 0.0000
Nd 0.0000 0.5000 0.5000
Np 0.0000 0.0000 0.5000
O 0.0000 0.0000 0.2268
O 0.0093 0.5046 0.2265

19.
First-principles (PBE-GGA) data for crystalline InSnCl3 at its relaxed geometry, as listed in Alexandria.

Formation energy from raw total energies   -0.67 eV per atom
Energy   -3.129 eV per atom

abc: 6.2151 6.2151 18.5250
angles: 90.00 90.00 90.00
Space group I-4m2 (No. 119)
Inequivalent atoms, fractional coordinates:
In 0.0000 0.0000 0.0927
Sn 0.0000 0.0000 0.5000
Sn 0.0000 0.5000 0.2500
Cl 0.0000 0.2437 0.3646
Cl 0.0000 0.5000 0.5404

20.
First-principles (PBE-GGA) data for crystalline LiHoPuIn at its relaxed geometry, as listed in Alexandria.

Formation energy from the elements   -0.031 eV per atom
Energy   -5.921 eV per atom

abc: 7.4652 7.4652 7.4652
angles: 90.00 90.00 90.00
Space group F-43m (No. 216)
Inequivalent atoms, fractional coordinates:
Li 0.0000 0.0000 0.0000
Ho 0.2500 0.2500 0.7500
Pu 0.2500 0.2500 0.2500
In 0.0000 0.0000 0.5000

21.
First-principles (PBE-GGA) data for crystalline Sm2ScCu at its relaxed geometry, as listed in Alexandria.

Formation energy from the elements   0.303 eV per atom
Relative energy among the computed polymorphs   343 meV per atom
Energy   -4.663 eV per atom

abc: 3.3694 3.3694 32.7853
angles: 90.00 90.00 120.00
Space group R-3m (No. 166, hexagonal axes)
Inequivalent atoms, fractional coordinates:
Sm 0.0000 0.0000 0.0987
Sc 0.0000 0.0000 0.0000
Cu 0.0000 0.0000 0.5000

22.
First-principles (PBE-GGA) data for crystalline K2TcMo at its relaxed geometry, as listed in Alexandria.

Formation energy from the elements   1.439 eV per atom
Relative energy among the computed polymorphs   657 meV per atom
Energy   -4.409 eV per atom

abc: 2.6847 5.3856 6.0142
angles: 90.00 90.00 90.00
Space group Pmmm (No. 47)
Inequivalent atoms, fractional coordinates:
K 0.0000 0.2484 0.0000
Tc 0.5000 0.0000 0.5000
Mo 0.5000 0.5000 0.5000

no.,size of the total moment (μB/f.u.)
1,0.000
2,0.000
3,0.000
4,0.000
5,0.000
6,3.954
7,0.000
8,5.252
9,0.000
10,0.000
11,0.000
12,1.051
13,0.002
14,0.000
15,0.001
16,0.000
17,0.000
18,3.979
19,0.000
20,6.256
21,0.017
22,0.012